The following is a DFT calculation (PBE) of a geometry-optimized AgTe2Pb structure.

Calculated values
E_tot: -3.10 eV/atom
formation energy (no corrections): 0.44 eV per formula unit

abc: 4.1811 4.9914 10.9035
angles: 90.00 90.00 90.00
Closest atoms and distances in Å follow each position.
Space group Cmm2 (No. 35)
Inequivalent atoms, fractional coordinates:
Ag  0.0000  0.0000  0.0000 x2  4 Te 3.00-3.29, 2 Pb 3.10, 4 Ag 3.26
Te  0.0000  0.0000  0.4754 x2  4 Te 3.26, 2 Pb 3.57
Te  0.0000  0.5000  0.8027 x2  4 Ag 3.00-3.29, 4 Te 3.26
Pb  0.0000  0.5000  0.2102 x2  4 Ag 3.10-3.39, 4 Pb 3.26


The following is a DFT calculation (PBE) of a geometry-optimized Ag5Te4Pb structure.

Calculated values
E_tot: -3.14 eV/atom
formation energy (no corrections): -0.83 eV per formula unit

abc: 4.4171 8.4367 15.3456
angles: 90.00 90.00 90.00
Closest atoms and distances in Å follow each position.
Space group Immm (No. 71)
Inequivalent atoms, fractional coordinates:
Ag  0.0000  0.0000  0.0000 x2  4 Te 2.86
Ag  0.0000  0.2216  0.3162 x8  4 Te 2.84-2.93, 2 Ag 3.04
Te  0.0000  0.2842  0.5000 x4  4 Ag 2.86-2.87
Te  0.0000  0.5000  0.2121 x4  6 Ag 2.84-2.93
Pb  0.0000  0.5000  0.0000 x2  6 Te 3.25-3.26